# Pm4Ho | the Alexandria database | PBE-GGA | relaxed
# relative energy among the computed polymorphs: 5 meV/atom
# E_tot: -23.49 eV per cell
data_Pm4Ho
_space_group_name_H-M_alt 'P 1'
_space_group_IT_number 1
_cell_length_a 3.627
_cell_length_b 3.627
_cell_length_c 13.070
_cell_angle_alpha 97.97
_cell_angle_beta 97.97
_cell_angle_gamma 90.00
loop_
_space_group_symop_operation_xyz
'x,y,z'
loop_
_atom_site_label
_atom_site_type_symbol
_atom_site_fract_x
_atom_site_fract_y
_atom_site_fract_z
Ho1 Ho 0.000 0.000 0.000
Pm1 Pm 0.199 0.199 0.398
Pm2 Pm 0.402 0.402 0.804
Pm3 Pm 0.801 0.801 0.602
Pm4 Pm 0.598 0.598 0.196

***

# Pm6Ho | the Alexandria database | PBE-GGA | relaxed
# relative energy among the computed polymorphs: 1046 meV/atom
# E_tot: -24.05 eV per cell
data_Pm6Ho
_space_group_name_H-M_alt 'P 1'
_space_group_IT_number 1
_cell_length_a 7.026
_cell_length_b 7.026
_cell_length_c 7.026
_cell_angle_alpha 109.47
_cell_angle_beta 109.47
_cell_angle_gamma 109.47
loop_
_space_group_symop_operation_xyz
'x,y,z'
loop_
_atom_site_label
_atom_site_type_symbol
_atom_site_fract_x
_atom_site_fract_y
_atom_site_fract_z
Pm1 Pm 0.500 0.250 0.750
Ho1 Ho 0.000 0.000 0.000
Pm2 Pm 0.750 0.500 0.250
Pm3 Pm 0.750 0.250 0.500
Pm4 Pm 0.250 0.750 0.500
Pm5 Pm 0.250 0.500 0.750
Pm6 Pm 0.500 0.750 0.250

***

# PmHo5 | the Alexandria database | PBE-GGA | relaxed
# relative energy among the computed polymorphs: 0 meV/atom
# E_tot: -27.52 eV per cell
data_PmHo5
_space_group_name_H-M_alt 'P 1'
_space_group_IT_number 1
_cell_length_a 5.015
_cell_length_b 5.010
_cell_length_c 7.924
_cell_angle_alpha 108.43
_cell_angle_beta 90.00
_cell_angle_gamma 90.00
loop_
_space_group_symop_operation_xyz
'x,y,z'
loop_
_atom_site_label
_atom_site_type_symbol
_atom_site_fract_x
_atom_site_fract_y
_atom_site_fract_z
Ho1 Ho 0.000 0.668 0.335
Ho2 Ho 0.000 0.332 0.665
Pm1 Pm 0.000 0.000 0.000
Ho3 Ho 0.500 0.833 0.666
Ho4 Ho 0.500 0.167 0.334
Ho5 Ho 0.500 0.500 0.000

***

Number 1: calculated formation energy 0.017 eV/atom, density 7.34 g/cm³. Number 2: calculated formation energy 1.291 eV/atom, density 6.44 g/cm³. Number 3: calculated formation energy 0.020 eV/atom, density 8.53 g/cm³.